Entry 1:
DFT (PBEsol) results for KZr2Al after structural relaxation.

Values from the calculation:
Electronic total energy = -81.42 eV per cell
D(E_F) = 0.758 states/eV/atom

a b c (Å): 7.2427 7.2427 7.2427
angles (deg): 90.00 90.00 90.00
Space group F-43m (No. 216)
One atom of each set of equivalent atoms:
K (0.0000, 0.0000, 0.0000) [4 per cell]
Zr (0.0000, 0.0000, 0.5000) [4 per cell]
Zr (0.2500, 0.2500, 0.7500) [4 per cell]
Al (0.2500, 0.2500, 0.2500) [4 per cell]



Entry 2:
DFT (PBEsol) results for KZrAl after structural relaxation.

Values from the calculation:
Electronic total energy = -43.58 eV per cell
D(E_F) = 0.225 states/eV/atom

a b c (Å): 6.9743 6.9743 6.9743
angles (deg): 90.00 90.00 90.00
Space group F-43m (No. 216)
One atom of each set of equivalent atoms:
K (0.0000, 0.0000, 0.0000) [4 per cell]
Zr (0.2500, 0.2500, 0.2500) [4 per cell]
Al (0.0000, 0.0000, 0.5000) [4 per cell]